[1]
Material: Sc3Ni4N4
Method: DFT, PBE-GGA
State: optimized geometry

Lattice parameters (Å, degrees): 6.728 6.728 6.728 154.53 119.59 66.63
Fractional coordinates of all 11 atoms:
Sc  0.000  0.000  0.000
Sc  0.384  0.884  0.500
Sc  0.616  0.116  0.500
Ni  0.006  0.332  0.673
Ni  0.341  0.668  0.673
Ni  0.659  0.332  0.327
Ni  0.994  0.668  0.327
N  0.234  0.234  0.000
N  0.290  0.500  0.790
N  0.710  0.500  0.210
N  0.766  0.766  0.000

Summary:
symmetry: No. 71
crystal system: orthorhombic
total energy: -79.7 eV for the cell shown
calculated density: 6.26 g/cm3

[2]
Material: Sc2NiN
Method: DFT, PBE-GGA
State: optimized geometry

Lattice parameters (Å, degrees): 3.183 3.183 12.867 90.00 90.00 120.00
Fractional coordinates of all 8 atoms:
Sc  0.333  0.667  0.099
Sc  0.333  0.667  0.401
Sc  0.667  0.333  0.599
Sc  0.667  0.333  0.901
Ni  0.333  0.667  0.750
Ni  0.667  0.333  0.250
N  0.000  0.000  0.000
N  0.000  0.000  0.500

Summary:
symmetry: No. 194
crystal system: hexagonal
total energy: -60.8 eV for the cell shown
calculated density: 4.78 g/cm3

Among the records above, which one has the lowest calculated density?
Sc2NiN

Number 1 is which compound?
Sc3Ni4N4